(1)
The following is a GGA-PBE calculation of a relaxed structure of MgZn2Cu9, from Alexandria via LeMat-Bulk. Values from VASP.

Cell and atoms, written as Quantum ESPRESSO input:
```
&SYSTEM
  ibrav = 0, nat = 12, ntyp = 3
/
ATOMIC_SPECIES
Mg 24.30 Mg.upf
Zn 65.41 Zn.upf
Cu 63.55 Cu.upf
ATOMIC_POSITIONS crystal
Mg 0.0000 0.0000 0.0000
Zn 0.1476 0.1476 0.1476
Zn 0.8524 0.8524 0.8524
Cu 0.0815 0.5879 0.5879
Cu 0.3338 0.3338 0.3338
Cu 0.4121 0.4121 0.9185
Cu 0.4121 0.9185 0.4121
Cu 0.5000 0.5000 0.5000
Cu 0.5879 0.0815 0.5879
Cu 0.5879 0.5879 0.0815
Cu 0.6662 0.6662 0.6662
Cu 0.9185 0.4121 0.4121
CELL_PARAMETERS angstrom
2.4578 1.4190 7.9136
-2.4578 1.4190 7.9136
0.0000 -2.8380 7.9136
```

Results
- SG: R-3m (166)
- Electronic total energy: -3.39 eV per atom



(2)
The following is a GGA-PBE calculation of a relaxed structure of Sm8AgIr5, from Alexandria via LeMat-Bulk. Values from VASP.

Cell and atoms, written as Quantum ESPRESSO input:
```
&SYSTEM
  ibrav = 0, nat = 14, ntyp = 3
/
ATOMIC_SPECIES
Sm 150.36 Sm.upf
Ag 107.87 Ag.upf
Ir 192.22 Ir.upf
ATOMIC_POSITIONS crystal
Sm 0.2415 0.4980 0.6098
Sm 0.3683 0.7585 0.2564
Sm 0.3715 0.2405 0.2541
Sm 0.5020 0.1118 0.7436
Sm 0.7595 0.0137 0.1310
Sm 0.8826 0.6285 0.8690
Sm 0.8882 0.6317 0.3902
Sm 0.9863 0.1174 0.7459
Ag 0.5000 0.5000 0.0000
Ir 0.1257 0.0041 0.3856
Ir 0.2599 0.8743 0.8785
Ir 0.6185 0.7401 0.6144
Ir 0.7500 0.2500 0.5000
Ir 0.9959 0.3815 0.1215
CELL_PARAMETERS angstrom
-4.4407 4.4407 4.3933
4.4407 -4.4407 4.3933
4.4407 4.4407 -4.3933
```

Results
- SG: I-4 (82)
- Electronic total energy: -6.66 eV per atom



(3)
The following is a GGA-PBE calculation of a relaxed structure of PmFe3Ru3, from Alexandria via LeMat-Bulk. Values from VASP.

Cell and atoms, written as Quantum ESPRESSO input:
```
&SYSTEM
  ibrav = 0, nat = 14, ntyp = 3
/
ATOMIC_SPECIES
Pm 145.00 Pm.upf
Fe 55.84 Fe.upf
Ru 101.07 Ru.upf
ATOMIC_POSITIONS crystal
Pm 0.0000 0.0000 0.0000
Pm 0.5000 0.5000 0.5000
Fe 0.0000 0.2500 0.5000
Fe 0.0000 0.7500 0.5000
Fe 0.2500 0.5000 0.0000
Fe 0.5000 0.0000 0.2500
Fe 0.5000 0.0000 0.7500
Fe 0.7500 0.5000 0.0000
Ru 0.0000 0.5000 0.2500
Ru 0.0000 0.5000 0.7500
Ru 0.2500 0.0000 0.5000
Ru 0.5000 0.2500 0.0000
Ru 0.5000 0.7500 0.0000
Ru 0.7500 0.0000 0.5000
CELL_PARAMETERS angstrom
6.3630 0.0000 0.0000
0.0000 6.3630 0.0000
0.0000 0.0000 6.3630
```

Results
- SG: Pm-3n (223)
- Electronic total energy: -7.72 eV per atom



(4)
The following is a GGA-PBE calculation of a relaxed structure of RbLa2Sm3Te6, from Alexandria via LeMat-Bulk. Values from VASP.

Cell and atoms, written as Quantum ESPRESSO input:
```
&SYSTEM
  ibrav = 0, nat = 12, ntyp = 4
/
ATOMIC_SPECIES
Rb 85.47 Rb.upf
La 138.91 La.upf
Sm 150.36 Sm.upf
Te 127.60 Te.upf
ATOMIC_POSITIONS crystal
Rb 0.0000 0.0000 0.0000
La 0.3307 0.3307 0.6596
La 0.6693 0.6693 0.3404
Sm 0.0000 0.0000 0.5000
Sm 0.3378 0.3378 0.1797
Sm 0.6622 0.6622 0.8203
Te 0.1635 0.1635 0.5864
Te 0.1753 0.1753 0.0789
Te 0.4992 0.4992 0.7303
Te 0.5008 0.5008 0.2697
Te 0.8247 0.8247 0.9211
Te 0.8365 0.8365 0.4136
CELL_PARAMETERS angstrom
10.0186 -2.2525 0.0000
10.0186 2.2525 0.0000
-2.2947 0.0000 9.0378
```

Results
- SG: C2/m (12)
- Electronic total energy: -5.08 eV per atom
- Formation energy without anion corrections: -137.6 kJ per mole of atoms



Q: Among the records above, which one has the highest electronic total energy?
A: MgZn2Cu9



Q: electronic total energy of number 1 (MgZn2Cu9)?
A: -3.39 eV per atom



Q: What is the electronic total energy in the third record?
A: -7.72 eV per atom



Q: What is the formula in the second record?
A: Sm8AgIr5